An optimized crystal structure of AuSNF2. Source: Alexandria, functional GGA-PBE.

Cell: 4.406 4.406 4.026 Å, 90.00 90.00 90.00°
Fractional positions:
Au1 0.000 0.000 0.000
S1 0.500 0.500 0.500
N1 0.000 0.000 0.500
F1 0.000 0.500 0.000
F2 0.500 0.000 0.000

Properties
- Energy above the lowest structure with this stoichiometry: 446 meV/atom
- Uncorrected formation energy: 751 meV per atom
- Magnetization: 0.158 μB per atom

***

An optimized crystal structure of AuS2NF. Source: Alexandria, functional GGA-PBE.

Cell: 5.052 5.052 3.987 Å, 90.00 90.00 90.00°
Fractional positions:
Au1 0.000 0.000 0.000
S1 0.000 0.500 0.000
S2 0.500 0.000 0.000
N1 0.000 0.000 0.500
F1 0.500 0.500 0.500

Properties
- Energy above the lowest structure with this stoichiometry: 0 meV/atom
- Uncorrected formation energy: 1320 meV per atom
- Magnetization: 1.009 μB per atom

***

An optimized crystal structure of AuS2NF. Source: Alexandria, functional GGA-PBE.

Cell: 4.502 4.502 3.992 Å, 90.00 90.00 90.00°
Fractional positions:
Au1 0.000 0.000 0.000
S1 0.000 0.500 0.500
S2 0.500 0.000 0.500
N1 0.500 0.500 0.000
F1 0.500 0.500 0.500

Properties
- Energy above the lowest structure with this stoichiometry: 354 meV/atom
- Uncorrected formation energy: 1673 meV per atom
- Magnetization: 0.564 μB per atom